# 1
## LaPuCd2 (PBE)

Data for LaPuCd2 after structural relaxation.

Results
As for the energy of formation: -0.116 eV per atom.

a = 5.4664 Å, b = 5.4664 Å, c = 5.4664 Å
α = 60.00°, β = 60.00°, γ = 60.00°
With the nearest neighbours (Å) after each atom.
Fractional positions:
La 0.5000 0.5000 0.5000  8 Cd 3.35
Cd 0.7500 0.7500 0.7500  4 La 3.35, 4 Pu 3.35
Cd 0.2500 0.2500 0.2500  4 La 3.35, 4 Pu 3.35
Pu 0.0000 0.0000 0.0000  8 Cd 3.35

# 2
## MnAgSe2 (PBE)

Data for MnAgSe2 after structural relaxation.

Results
For the formation energy without anion corrections, the calculation gives -209 meV/atom.

a = 6.5006 Å, b = 6.5006 Å, c = 4.4982 Å
α = 78.57°, β = 78.57°, γ = 31.38°
With the nearest neighbours (Å) after each atom.
Fractional positions:
Se 0.9213 0.9213 0.1173  2 Mn 2.47, 2 Ag 2.77
Se 0.6910 0.6910 0.6779  2 Mn 2.45, 1 Ag 2.59
Ag 0.5721 0.5721 0.2698  4 Se 2.59-2.77
Mn 0.3156 0.3156 0.4350  4 Se 2.45-2.47

# 3
## Ge2MoPd (PBE)

Data for Ge2MoPd after structural relaxation.

Results
As for the energy of formation: -0.040 eV per atom.

a = 4.4304 Å, b = 4.4304 Å, c = 4.4304 Å
α = 60.00°, β = 60.00°, γ = 60.00°
With the nearest neighbours (Å) after each atom.
Fractional positions:
Ge 0.7500 0.7500 0.7500  4 Pd 2.71, 4 Mo 2.71
Ge 0.2500 0.2500 0.2500  4 Pd 2.71, 4 Mo 2.71
Pd 0.5000 0.5000 0.5000  8 Ge 2.71
Mo 0.0000 0.0000 0.0000  8 Ge 2.71

# 4
## SrPa2PdN4 (PBE)

Data for SrPa2PdN4 after structural relaxation.

Results
For the formation energy without anion corrections, the calculation gives -1199 meV/atom.

a = 3.6498 Å, b = 6.1105 Å, c = 11.9762 Å
α = 90.00°, β = 90.00°, γ = 107.38°
With the nearest neighbours (Å) after each atom.
Fractional positions:
N 0.2591 0.5182 0.0880  1 Pd 2.18, 3 Pa 2.20-2.36
N 0.0000 0.0000 0.0000  4 Pa 2.52
N 0.7409 0.4818 0.5880  1 Pd 2.18, 3 Pa 2.20-2.36
N 0.7409 0.4818 0.9120  1 Pd 2.18, 3 Pa 2.20-2.36
N 0.2591 0.5182 0.4120  1 Pd 2.18, 3 Pa 2.20-2.36
N 0.0000 0.0000 0.5000  4 Pa 2.52
N 0.5599 0.1199 0.2500  2 Pd 2.26, 2 Pa 2.39
N 0.4401 0.8801 0.7500  2 Pd 2.26, 2 Pa 2.39
Pa 0.6334 0.2668 0.4367  4 N 2.20-2.39
Pa 0.3666 0.7332 0.9367  4 N 2.20-2.39
Pa 0.3666 0.7332 0.5633  4 N 2.20-2.39
Pa 0.6334 0.2668 0.0633  4 N 2.20-2.39
Pd 0.8256 0.6512 0.7500  4 N 2.18-2.26
Pd 0.1744 0.3488 0.2500  4 N 2.18-2.26
Sr 0.9044 0.8088 0.2500  2 N 2.57
Sr 0.0956 0.1912 0.7500  2 N 2.57

no.,E (eV per atom)
1,-5.388
2,-4.956
3,-6.354
4,-8.595